Version A
DFT (GGA-PBE) results for a geometry-optimized Ba4Mg3 structure.

CIF file:
```
data_Ba4Mg3
_chemical_formula_sum 'Ba8 Mg6'
_space_group_name_H-M_alt 'P 1'
_space_group_IT_number 1
_cell_length_a 4.3057
_cell_length_b 4.3057
_cell_length_c 34.4397
_cell_angle_alpha 90.00
_cell_angle_beta 90.00
_cell_angle_gamma 90.00
loop_
_space_group_symop_operation_xyz
'x,y,z'
loop_
_atom_site_label
_atom_site_fract_x
_atom_site_fract_y
_atom_site_fract_z
Ba1 0.0000 0.0000 0.0633
Ba2 0.0000 0.0000 0.3351
Ba3 0.0000 0.0000 0.6649
Ba4 0.0000 0.0000 0.9367
Ba5 0.5000 0.5000 0.1649
Ba6 0.5000 0.5000 0.4367
Ba7 0.5000 0.5000 0.5633
Ba8 0.5000 0.5000 0.8351
Mg1 0.0000 0.0000 0.2292
Mg2 0.0000 0.0000 0.5000
Mg3 0.0000 0.0000 0.7708
Mg4 0.5000 0.5000 0.0000
Mg5 0.5000 0.5000 0.2708
Mg6 0.5000 0.5000 0.7292
```

Summary:
SG ... I4/mmm (139)
Total moment ... 0.0000 μB/atom

Version B
DFT (GGA-PBE) results for a geometry-optimized Ba4Mg3 structure.

CIF file:
```
data_Ba4Mg3
_chemical_formula_sum 'Ba4 Mg3'
_space_group_name_H-M_alt 'P 1'
_space_group_IT_number 1
_cell_length_a 6.8803
_cell_length_b 6.8803
_cell_length_c 7.4343
_cell_angle_alpha 90.00
_cell_angle_beta 90.00
_cell_angle_gamma 120.00
loop_
_space_group_symop_operation_xyz
'x,y,z'
loop_
_atom_site_label
_atom_site_fract_x
_atom_site_fract_y
_atom_site_fract_z
Ba1 0.0000 0.0000 0.2403
Ba2 0.0000 0.0000 0.7597
Ba3 0.3333 0.6667 0.5000
Ba4 0.6667 0.3333 0.5000
Mg1 0.0000 0.5000 0.0000
Mg2 0.5000 0.0000 0.0000
Mg3 0.5000 0.5000 0.0000
```

Summary:
SG ... P6/mmm (191)
Total moment ... 0.0000 μB/atom

Verdict on stability: version B comes out at the bottom.

Version A
DFT (GGA-PBE) results for a geometry-optimized Ba5Mg4 structure.

CIF file:
```
data_Ba5Mg4
_chemical_formula_sum 'Ba10 Mg8'
_space_group_name_H-M_alt 'P 1'
_space_group_IT_number 1
_cell_length_a 11.1259
_cell_length_b 11.1259
_cell_length_c 7.6446
_cell_angle_alpha 90.00
_cell_angle_beta 90.00
_cell_angle_gamma 120.00
loop_
_space_group_symop_operation_xyz
'x,y,z'
loop_
_atom_site_label
_atom_site_fract_x
_atom_site_fract_y
_atom_site_fract_z
Ba1 0.0000 0.2886 0.2500
Ba2 0.0000 0.7114 0.7500
Ba3 0.2886 0.0000 0.2500
Ba4 0.2886 0.2886 0.7500
Ba5 0.3333 0.6667 0.0000
Ba6 0.3333 0.6667 0.5000
Ba7 0.6667 0.3333 0.0000
Ba8 0.6667 0.3333 0.5000
Ba9 0.7114 0.0000 0.7500
Ba10 0.7114 0.7114 0.2500
Mg1 0.0000 0.0000 0.0000
Mg2 0.0000 0.0000 0.5000
Mg3 0.0000 0.3791 0.7500
Mg4 0.0000 0.6209 0.2500
Mg5 0.3791 0.0000 0.7500
Mg6 0.3791 0.3791 0.2500
Mg7 0.6209 0.0000 0.2500
Mg8 0.6209 0.6209 0.7500
```

Summary:
SG ... P6_3/mcm (193)
Total moment ... 0.0000 μB/atom

Version B
DFT (GGA-PBE) results for a geometry-optimized Ba5Mg4 structure.

CIF file:
```
data_Ba5Mg4
_chemical_formula_sum 'Ba5 Mg4'
_space_group_name_H-M_alt 'P 1'
_space_group_IT_number 1
_cell_length_a 8.6561
_cell_length_b 8.6561
_cell_length_c 8.6561
_cell_angle_alpha 96.02
_cell_angle_beta 96.02
_cell_angle_gamma 142.20
loop_
_space_group_symop_operation_xyz
'x,y,z'
loop_
_atom_site_label
_atom_site_fract_x
_atom_site_fract_y
_atom_site_fract_z
Ba1 0.0000 0.0000 0.0000
Ba2 0.3242 0.3242 0.6485
Ba3 0.3242 0.6758 0.0000
Ba4 0.6758 0.3242 0.0000
Ba5 0.6758 0.6758 0.3515
Mg1 0.0000 0.3617 0.3617
Mg2 0.0000 0.6383 0.6383
Mg3 0.3617 0.0000 0.3617
Mg4 0.6383 0.0000 0.6383
```

Summary:
SG ... I4/mmm (139)
Total moment ... 0.0000 μB/atom

Verdict on stability: version B comes out at the bottom.